## A
Computed, not measured: crystalline PWCl2F at its relaxed geometry at the PBE+U level of DFT.

Summary:
Mass density: 4.7 g/cm³
Calculated volume: 21.49 A^3/atom
Crystal system: tetragonal
Total moment: 0.00 μB/f.u.
Space group: P4/mmm

POSCAR file:
```
PWCl2F
1.0
4.768 0.000 0.000
0.000 4.768 0.000
0.000 0.000 4.727
P W Cl F
1 1 2 1
direct
0.000 0.000 0.000
0.000 0.000 0.500
0.000 0.500 0.500
0.500 0.000 0.500
0.500 0.500 0.000
```

=====

## B
Computed, not measured: crystalline PWCl2F at its relaxed geometry at the PBE+U level of DFT.

Summary:
Mass density: 4.7 g/cm³
Calculated volume: 21.57 A^3/atom
Crystal system: tetragonal
Total moment: 2.61 μB/f.u.
Space group: P4/mmm

POSCAR file:
```
PWCl2F
1.0
5.408 0.000 0.000
0.000 5.408 0.000
0.000 0.000 3.687
P W Cl F
1 1 2 1
direct
0.000 0.000 0.000
0.500 0.500 0.000
0.000 0.500 0.500
0.500 0.000 0.500
0.000 0.000 0.500
```

=====

Least stable structure: B